Entry 1:
The following is a DFT calculation (PBE) of a relaxed structure of La6NiGe2Cl3.

Properties
* V: 338.6 Å³/cell
* symmetry: C2/m

Lattice parameters (Å, degrees): 4.347 8.653 9.448 101.44 103.30 90.00
Sites, in units of the cell vectors:
La (0.352, 0.910, 0.703)
La (0.669, 0.580, 0.339)
La (0.648, 0.090, 0.297)
La (0.998, 0.241, 0.996)
La (0.002, 0.759, 0.004)
La (0.331, 0.420, 0.661)
Ni (0.500, 0.000, 0.000)
Ge (0.838, 0.662, 0.675)
Ge (0.162, 0.338, 0.325)
Cl (0.500, 0.500, 0.000)
Cl (0.823, 0.155, 0.647)
Cl (0.177, 0.845, 0.353)

=====

Entry 2:
The following is a DFT calculation (PBE) of a relaxed structure of La4NiGeCl2.

Properties
* V: 223.4 Å³/cell
* symmetry: P2/m

Lattice parameters (Å, degrees): 4.181 7.628 7.399 108.79 90.00 90.00
Sites, in units of the cell vectors:
La (0.500, 0.247, 0.240)
La (0.500, 0.753, 0.760)
La (0.000, 0.277, 0.784)
La (0.000, 0.723, 0.216)
Ni (0.500, 0.500, 0.000)
Ge (0.000, 0.000, 0.000)
Cl (0.500, 0.000, 0.500)
Cl (0.000, 0.500, 0.500)

=====

Entry 3:
The following is a DFT calculation (PBE) of a relaxed structure of La8Ge3OsCl4.

Properties
* V: 464.1 Å³/cell
* symmetry: C2/m

Lattice parameters (Å, degrees): 8.713 8.663 8.723 120.24 119.96 90.00
Sites, in units of the cell vectors:
La (0.232, 0.722, 0.990)
La (0.235, 0.724, 0.469)
La (0.255, 0.263, 0.509)
La (0.758, 0.722, 0.990)
La (0.242, 0.278, 0.010)
La (0.745, 0.737, 0.491)
La (0.765, 0.276, 0.531)
La (0.768, 0.278, 0.010)
Ge (0.500, 0.500, 0.000)
Ge (0.500, 0.500, 0.500)
Ge (0.000, 0.500, 0.500)
Os (0.000, 0.500, 0.000)
Cl (0.500, 0.000, 0.000)
Cl (0.500, 0.000, 0.500)
Cl (0.000, 0.000, 0.000)
Cl (0.000, 0.000, 0.500)

=====

Entry 4:
The following is a DFT calculation (PBE) of a relaxed structure of La4GeOsCl2.

Properties
* V: 236.7 Å³/cell
* symmetry: P2/m

Lattice parameters (Å, degrees): 4.260 7.723 7.544 72.49 90.00 90.00
Sites, in units of the cell vectors:
La (0.000, 0.714, 0.774)
La (0.000, 0.286, 0.226)
La (0.500, 0.709, 0.239)
La (0.500, 0.291, 0.761)
Ge (0.000, 0.500, 0.500)
Os (0.500, 0.500, 0.000)
Cl (0.000, 0.000, 0.000)
Cl (0.500, 0.000, 0.500)

=====

Entry 5:
The following is a DFT calculation (PBE) of a relaxed structure of LaGeP2Cl.

Properties
* relative energy among the computed polymorphs: 0.0 meV/atom
* V: 113.5 Å³/cell
* symmetry: P4/mmm

Lattice parameters (Å, degrees): 4.784 4.784 4.957 90.00 90.00 90.00
Sites, in units of the cell vectors:
P (0.000, 0.500, 0.000)
P (0.500, 0.000, 0.000)
Ge (0.000, 0.000, 0.000)
Cl (0.000, 0.000, 0.500)
La (0.500, 0.500, 0.500)

=====

Entry 6:
The following is a DFT calculation (PBE) of a relaxed structure of La4GePCl2.

Properties
* V: 224.0 Å³/cell
* symmetry: P2/m

Lattice parameters (Å, degrees): 4.302 7.418 7.453 70.39 90.00 90.00
Sites, in units of the cell vectors:
La (0.000, 0.731, 0.748)
La (0.000, 0.269, 0.252)
La (0.500, 0.726, 0.265)
La (0.500, 0.274, 0.735)
Ge (0.500, 0.500, 0.000)
P (0.000, 0.500, 0.500)
Cl (0.000, 0.000, 0.000)
Cl (0.500, 0.000, 0.500)

=====

Entry 7:
The following is a DFT calculation (PBE) of a relaxed structure of LaGeP2Cl.

Properties
* relative energy among the computed polymorphs: 723.1 meV/atom
* V: 164.6 Å³/cell
* symmetry: P4/mmm

Lattice parameters (Å, degrees): 5.555 5.555 5.332 90.00 90.00 90.00
Sites, in units of the cell vectors:
P (0.000, 0.500, 0.000)
P (0.500, 0.000, 0.000)
Ge (0.500, 0.500, 0.500)
Cl (0.000, 0.000, 0.500)
La (0.000, 0.000, 0.000)

=====

Entry 8:
The following is a DFT calculation (PBE) of a relaxed structure of La6GeP2Cl3.

Properties
* V: 332.0 Å³/cell
* symmetry: C2/m

Lattice parameters (Å, degrees): 4.275 8.564 9.561 102.96 102.92 90.00
Sites, in units of the cell vectors:
La (0.336, 0.898, 0.672)
La (0.673, 0.568, 0.345)
La (0.664, 0.102, 0.328)
La (0.007, 0.245, 0.015)
La (0.993, 0.755, 0.985)
La (0.327, 0.432, 0.655)
Ge (0.500, 0.000, 0.000)
P (0.832, 0.665, 0.664)
P (0.168, 0.335, 0.336)
Cl (0.500, 0.500, 0.000)
Cl (0.835, 0.168, 0.671)
Cl (0.165, 0.832, 0.329)

=====

no.,ΔE_f (raw) (eV/atom)
1,-1.20
2,-1.12
3,-1.23
4,-1.13
5,-0.47
6,-1.53
7,0.26
8,-1.59